(1)
## Mo2PbSe (GGA-PBE)

Data for a relaxed structure of Mo2PbSe.

Total magnetic moment = 0.01 μB per cell
Energy relative to the lowest polymorph listed for this composition = 481 meV per atom
Calculated volume = 71.5 Å³/f.u.

a b c (Å): 4.6669 4.6669 3.2816
angles (deg): 90.00 90.00 90.00
Atoms (fractional coordinates):
Mo 0.0000 0.5000 0.0000
Mo 0.5000 0.0000 0.0000
Pb 0.0000 0.0000 0.5000
Se 0.5000 0.5000 0.5000

(2)
## Tm3PuSc (GGA-PBE)

Data for a relaxed structure of Tm3PuSc.

Total magnetic moment = 12.55 μB per cell
Calculated volume = 141.5 Å³/f.u.
Energy relative to the elements = 0.124 eV/atom

a b c (Å): 6.1218 6.1218 8.5841
angles (deg): 107.66 107.66 97.60
Atoms (fractional coordinates):
Tm 0.1193 0.7518 0.7877
Tm 0.2482 0.8807 0.2123
Tm 0.3388 0.3388 0.0728
Tm 0.6612 0.6612 0.9272
Tm 0.7518 0.1193 0.7877
Tm 0.8807 0.2482 0.2123
Pu 0.2084 0.2084 0.6191
Pu 0.7916 0.7916 0.3809
Sc 0.3402 0.6598 0.5000
Sc 0.6598 0.3402 0.5000

(3)
## Ca3Mg2Cd4 (GGA-PBE)

Data for a relaxed structure of Ca3Mg2Cd4.

Total magnetic moment = 0.00 μB per cell
Calculated volume = 252.5 Å³/f.u.
Energy relative to the elements = -0.233 eV/atom

a b c (Å): 6.0463 6.0463 9.4325
angles (deg): 99.32 99.32 48.07
Atoms (fractional coordinates):
Ca 0.0000 0.0000 0.0000
Ca 0.3830 0.3830 0.6169
Ca 0.6170 0.6170 0.3831
Mg 0.2958 0.2958 0.2391
Mg 0.7042 0.7042 0.7609
Cd 0.0874 0.0874 0.6352
Cd 0.2917 0.2917 0.9239
Cd 0.7083 0.7083 0.0761
Cd 0.9126 0.9126 0.3648

(4)
## In2SbCl (GGA-PBE)

Data for a relaxed structure of In2SbCl.

Total magnetic moment = 0.00 μB per cell
Energy relative to the lowest polymorph listed for this composition = 217 meV per atom
Calculated volume = 128.0 Å³/f.u.

a b c (Å): 12.2950 12.2950 12.2950
angles (deg): 16.32 16.32 16.32
Atoms (fractional coordinates):
In 0.0000 0.0000 0.0000
In 0.2305 0.2305 0.2305
Sb 0.4929 0.4929 0.4929
Cl 0.7183 0.7183 0.7183